[1]
U5P3Se2 | PBE | optimized geometry

abc: 6.857 20.339 6.844
angles: 90.00 110.55 90.00
Space group C2/c (No. 15)
Unique sites:
U (0.239, 0.055, 0.000) (multiplicity 8)
U (0.240, 0.146, 0.491) (multiplicity 8)
U (0.250, 0.250, 0.000) (multiplicity 4)
P (0.000, 0.046, 0.250) (multiplicity 4)
P (0.000, 0.153, 0.750) (multiplicity 4)
P (0.000, 0.349, 0.750) (multiplicity 4)
Se (0.000, 0.253, 0.250) (multiplicity 4)
Se (0.000, 0.453, 0.250) (multiplicity 4)

Calculated values
E_tot ... -8.95 eV per atom
Total magnetic moment ... 0.729 μB per atom
DOS at the Fermi energy ... 2.64 states/eV/atom
Energy relative to the elements, uncorrected ... -0.99 eV per atom

---

[2]
UPSe | PBE | optimized geometry

abc: 3.645 3.645 8.938
angles: 90.00 90.00 90.00
Space group I4mm (No. 107)
Unique sites:
U (0.000, 0.000, 0.000) (multiplicity 2)
P (0.000, 0.000, 0.639) (multiplicity 2)
Se (0.000, 0.000, 0.339) (multiplicity 2)

Calculated values
E_tot ... -7.46 eV per atom
Total magnetic moment ... 0.404 μB per atom
DOS at the Fermi energy ... 1.18 states/eV/atom
Energy relative to the elements, uncorrected ... -0.74 eV per atom

---

[3]
UPSe | PBE | optimized geometry

abc: 3.892 3.892 16.274
angles: 90.00 90.00 90.00
Space group I4/mmm (No. 139)
Unique sites:
U (0.000, 0.000, 0.123) (multiplicity 4)
P (0.000, 0.500, 0.000) (multiplicity 4)
Se (0.000, 0.000, 0.315) (multiplicity 4)

Calculated values
E_tot ... -7.74 eV per atom
Total magnetic moment ... 0.650 μB per atom
DOS at the Fermi energy ... 1.81 states/eV/atom
Energy relative to the elements, uncorrected ... -1.01 eV per atom

---

[4]
U2PSe | PBE | optimized geometry

abc: 4.0325 4.0325 19.2354
angles: 90.00 90.00 120.00
Space group R-3m (No. 166, hexagonal axes)
Unique sites:
U (0.0000, 0.0000, 0.2442) (multiplicity 6)
P (0.0000, 0.0000, 0.5000) (multiplicity 3)
Se (0.0000, 0.0000, 0.0000) (multiplicity 3)

Calculated values
E_tot ... -8.88 eV per atom
E above lowest polymorph ... 0.000 eV/f.u.
Total magnetic moment ... 1.166 μB per atom
DOS at the Fermi energy ... 2.48 states/eV/atom
Energy relative to the elements, uncorrected ... -1.01 eV per atom

---

[5]
U2PSe2 | PBE | optimized geometry

abc: 3.858 12.938 9.999
angles: 90.00 90.00 90.00
Space group Cmc2_1 (No. 36)
Unique sites:
U (0.000, 0.008, 0.000) (multiplicity 4)
U (0.000, 0.242, 0.237) (multiplicity 4)
P (0.000, 0.356, 0.576) (multiplicity 4)
Se (0.000, 0.094, 0.745) (multiplicity 4)
Se (0.000, 0.354, 0.926) (multiplicity 4)

Calculated values
E_tot ... -7.92 eV per atom
E above lowest polymorph ... 0.000 eV/f.u.
Total magnetic moment ... 0.958 μB per atom
DOS at the Fermi energy ... 2.29 states/eV/atom
Energy relative to the elements, uncorrected ... -0.92 eV per atom

---

[6]
U3P2Se | PBE | optimized geometry

abc: 9.663 10.977 4.869
angles: 90.00 90.00 90.00
Space group Cmcm (No. 63)
Unique sites:
U (0.000, 0.205, 0.250) (multiplicity 4)
U (0.179, 0.370, 0.250) (multiplicity 8)
P (0.123, 0.000, 0.000) (multiplicity 8)
Se (0.000, 0.382, 0.750) (multiplicity 4)

Calculated values
E_tot ... -8.35 eV per atom
E above lowest polymorph ... 4.033 eV/f.u.
Total magnetic moment ... 0.363 μB per atom
DOS at the Fermi energy ... 1.90 states/eV/atom
Energy relative to the elements, uncorrected ... -0.32 eV per atom

---

[7]
UPSe | PBE | optimized geometry

abc: 4.4742 4.4742 3.8016
angles: 90.00 90.00 120.00
Space group P3m1 (No. 156)
Unique sites:
U (0.0000, 0.0000, 0.0000) (multiplicity 1)
P (0.3333, 0.6667, 0.0592) (multiplicity 1)
Se (0.6667, 0.3333, 0.5268) (multiplicity 1)

Calculated values
E_tot ... -7.14 eV per atom
Total magnetic moment ... 0.358 μB per atom
DOS at the Fermi energy ... 1.37 states/eV/atom
Energy relative to the elements, uncorrected ... -0.42 eV per atom

---

[8]
U6PSe5 | PBE | optimized geometry

abc: 7.114 12.353 6.787
angles: 90.00 110.58 90.00
Space group C2/m (No. 12)
Unique sites:
U (0.238, 0.000, 0.250) (multiplicity 4)
U (0.241, 0.162, 0.741) (multiplicity 8)
P (0.000, 0.000, 0.500) (multiplicity 2)
Se (0.000, 0.173, 0.000) (multiplicity 4)
Se (0.000, 0.336, 0.500) (multiplicity 4)
Se (0.000, 0.500, 0.000) (multiplicity 2)

Calculated values
E_tot ... -8.55 eV per atom
Total magnetic moment ... 1.271 μB per atom
DOS at the Fermi energy ... 2.36 states/eV/atom
Energy relative to the elements, uncorrected ... -1.00 eV per atom

---

[9]
VPSe | PBE | optimized geometry

abc: 3.147 3.147 9.829
angles: 90.00 90.00 90.00
Space group I4mm (No. 107)
Unique sites:
V (0.000, 0.000, 0.000) (multiplicity 2)
P (0.000, 0.000, 0.613) (multiplicity 2)
Se (0.000, 0.000, 0.351) (multiplicity 2)

Calculated values
E_tot ... -6.19 eV per atom
Total magnetic moment ... 0.052 μB per atom
DOS at the Fermi energy ... 0.82 states/eV/atom
Energy relative to the elements, uncorrected ... -0.19 eV per atom

---

[10]
V3PSe | PBE | optimized geometry

abc: 4.426 4.426 4.426
angles: 90.00 90.00 90.00
Space group Pm-3m (No. 221)
Unique sites:
V (0.000, 0.000, 0.500) (multiplicity 3)
P (0.000, 0.000, 0.000) (multiplicity 1)
Se (0.500, 0.500, 0.500) (multiplicity 1)

Calculated values
E_tot ... -6.95 eV per atom
Total magnetic moment ... 0.873 μB per atom
DOS at the Fermi energy ... 1.37 states/eV/atom
Energy relative to the elements, uncorrected ... 0.30 eV per atom

---

[11]
V2PSe | PBE | optimized geometry

abc: 6.040 6.040 6.040
angles: 90.00 90.00 90.00
Space group Fm-3m (No. 225)
Unique sites:
V (0.250, 0.250, 0.250) (multiplicity 8)
P (0.000, 0.000, 0.000) (multiplicity 4)
Se (0.000, 0.000, 0.500) (multiplicity 4)

Calculated values
E_tot ... -7.09 eV per atom
E above lowest polymorph ... 0.706 eV/f.u.
Total magnetic moment ... 0.277 μB per atom
DOS at the Fermi energy ... 1.14 states/eV/atom
Energy relative to the elements, uncorrected ... -0.31 eV per atom

---

[12]
VP3Se | PBE | optimized geometry

abc: 4.689 4.689 4.689
angles: 90.00 90.00 90.00
Space group Pm-3m (No. 221)
Unique sites:
V (0.000, 0.000, 0.000) (multiplicity 1)
P (0.000, 0.500, 0.500) (multiplicity 3)
Se (0.500, 0.500, 0.500) (multiplicity 1)

Calculated values
E_tot ... -4.52 eV per atom
E above lowest polymorph ... 4.074 eV/f.u.
Total magnetic moment ... 0.576 μB per atom
DOS at the Fermi energy ... 1.54 states/eV/atom
Energy relative to the elements, uncorrected ... 1.25 eV per atom

---

[13]
VP3Se | PBE | optimized geometry

abc: 4.541 4.541 4.541
angles: 90.00 90.00 90.00
Space group Pm-3m (No. 221)
Unique sites:
V (0.000, 0.000, 0.000) (multiplicity 1)
P (0.000, 0.000, 0.500) (multiplicity 3)
Se (0.500, 0.500, 0.500) (multiplicity 1)

Calculated values
E_tot ... -5.34 eV per atom
E above lowest polymorph ... 0.000 eV/f.u.
Total magnetic moment ... 0.034 μB per atom
DOS at the Fermi energy ... 0.93 states/eV/atom
Energy relative to the elements, uncorrected ... 0.43 eV per atom

---

[14]
VP2Se | PBE | optimized geometry

abc: 5.606 5.606 11.029
angles: 90.00 90.00 90.00
Space group I-42d (No. 122)
Unique sites:
V (0.000, 0.000, 0.000) (multiplicity 4)
P (0.209, 0.250, 0.125) (multiplicity 8)
Se (0.000, 0.000, 0.500) (multiplicity 4)

Calculated values
E_tot ... -5.59 eV per atom
Total magnetic moment ... 0.214 μB per atom
DOS at the Fermi energy ... 0.95 states/eV/atom
Energy relative to the elements, uncorrected ... 0.27 eV per atom

---

[15]
VPSe | PBE | optimized geometry

abc: 3.2599 3.2599 5.5783
angles: 90.00 90.00 120.00
Space group P3m1 (No. 156)
Unique sites:
V (0.0000, 0.0000, 0.0000) (multiplicity 1)
P (0.6667, 0.3333, 0.2563) (multiplicity 1)
Se (0.3333, 0.6667, 0.7059) (multiplicity 1)

Calculated values
E_tot ... -6.39 eV per atom
Total magnetic moment ... 0.000 μB per atom
DOS at the Fermi energy ... 0.43 states/eV/atom
Energy relative to the elements, uncorrected ... -0.39 eV per atom

---

[16]
V2PSe | PBE | optimized geometry

abc: 3.4567 3.4567 17.8432
angles: 90.00 90.00 120.00
Space group R3m (No. 160, hexagonal axes)
Unique sites:
V (0.0000, 0.0000, 0.0000) (multiplicity 3)
V (0.0000, 0.0000, 0.1900) (multiplicity 3)
P (0.0000, 0.0000, 0.5939) (multiplicity 3)
Se (0.0000, 0.0000, 0.7597) (multiplicity 3)

Calculated values
E_tot ... -7.27 eV per atom
E above lowest polymorph ... 0.000 eV/f.u.
Total magnetic moment ... 0.525 μB per atom
DOS at the Fermi energy ... 1.22 states/eV/atom
Energy relative to the elements, uncorrected ... -0.49 eV per atom

---

[17]
VPSe | PBE | optimized geometry

abc: 10.833 3.218 6.239
angles: 90.00 101.28 90.00
Space group C2/m (No. 12)
Unique sites:
V (0.247, 0.000, 0.197) (multiplicity 4)
P (0.102, 0.500, 0.025) (multiplicity 4)
Se (0.134, 0.000, 0.527) (multiplicity 4)

Calculated values
E_tot ... -6.47 eV per atom
Total magnetic moment ... 0.000 μB per atom
DOS at the Fermi energy ... 0.63 states/eV/atom
Energy relative to the elements, uncorrected ... -0.47 eV per atom

---

[18]
VP3Se9 | PBE | optimized geometry

abc: 17.534 8.186 12.406
angles: 90.00 129.64 90.00
Space group Cc (No. 9)
Unique sites:
V (0.000, 0.247, 0.000) (multiplicity 4)
P (0.146, 0.092, 0.839) (multiplicity 4)
P (0.250, 0.433, 0.742) (multiplicity 4)
P (0.375, 0.083, 0.688) (multiplicity 4)
Se (0.004, 0.311, 0.212) (multiplicity 4)
Se (0.012, 0.106, 0.826) (multiplicity 4)
Se (0.128, 0.348, 0.752) (multiplicity 4)
Se (0.159, 0.120, 0.230) (multiplicity 4)
Se (0.162, 0.379, 0.072) (multiplicity 4)
Se (0.246, 0.273, 0.582) (multiplicity 4)
Se (0.306, 0.140, 0.041) (multiplicity 4)
Se (0.380, 0.475, 0.455) (multiplicity 4)
Se (0.407, 0.000, 0.389) (multiplicity 4)

Calculated values
E_tot ... -4.40 eV per atom
Total magnetic moment ... 0.156 μB per atom
DOS at the Fermi energy ... 0.13 states/eV/atom
Energy relative to the elements, uncorrected ... -0.04 eV per atom

---

[19]
V2PSe | PBE | optimized geometry

abc: 3.4958 3.4958 20.5922
angles: 90.00 90.00 120.00
Space group R-3m (No. 166, hexagonal axes)
Unique sites:
V (0.0000, 0.0000, 0.1113) (multiplicity 6)
P (0.0000, 0.0000, 0.5000) (multiplicity 3)
Se (0.0000, 0.0000, 0.0000) (multiplicity 3)

Calculated values
E_tot ... -7.09 eV per atom
E above lowest polymorph ... 0.706 eV/f.u.
Total magnetic moment ... 0.000 μB per atom
DOS at the Fermi energy ... 0.67 states/eV/atom
Energy relative to the elements, uncorrected ... -0.31 eV per atom

---

[20]
V2P2Se | PBE | optimized geometry

abc: 6.806 6.806 3.091
angles: 90.00 90.00 90.00
Space group P4/mbm (No. 127)
Unique sites:
V (0.151, 0.349, 0.000) (multiplicity 4)
P (0.132, 0.632, 0.500) (multiplicity 4)
Se (0.000, 0.000, 0.000) (multiplicity 2)

Calculated values
E_tot ... -6.94 eV per atom
Total magnetic moment ... 0.000 μB per atom
DOS at the Fermi energy ... 0.64 states/eV/atom
Energy relative to the elements, uncorrected ... -0.43 eV per atom

---

[21]
VPSe4 | PBE | optimized geometry

abc: 7.124 17.096 6.049
angles: 90.00 125.83 90.00
Space group C2/c (No. 15)
Unique sites:
V (0.000, 0.181, 0.250) (multiplicity 4)
P (0.000, 0.338, 0.750) (multiplicity 4)
Se (0.240, 0.080, 0.247) (multiplicity 8)
Se (0.248, 0.215, 0.742) (multiplicity 8)

Calculated values
E_tot ... -4.98 eV per atom
Total magnetic moment ... 0.000 μB per atom
DOS at the Fermi energy ... 0.28 states/eV/atom
Energy relative to the elements, uncorrected ... -0.23 eV per atom

---

[22]
V2PSe | PBE | optimized geometry

abc: 5.610 5.610 11.183
angles: 90.00 90.00 90.00
Space group I-42d (No. 122)
Unique sites:
V (0.230, 0.250, 0.125) (multiplicity 8)
P (0.000, 0.000, 0.000) (multiplicity 4)
Se (0.000, 0.000, 0.500) (multiplicity 4)

Calculated values
E_tot ... -6.99 eV per atom
E above lowest polymorph ... 1.119 eV/f.u.
Total magnetic moment ... 1.253 μB per atom
DOS at the Fermi energy ... 0.66 states/eV/atom
Energy relative to the elements, uncorrected ... -0.21 eV per atom

---

[23]
P3WSe | PBE | optimized geometry

abc: 4.697 4.697 4.697
angles: 90.00 90.00 90.00
Space group Pm-3m (No. 221)
Unique sites:
P (0.000, 0.000, 0.500) (multiplicity 3)
W (0.000, 0.000, 0.000) (multiplicity 1)
Se (0.500, 0.500, 0.500) (multiplicity 1)

Calculated values
E_tot ... -5.92 eV per atom
E above lowest polymorph ... 0.000 eV/f.u.
Total magnetic moment ... 0.000 μB per atom
DOS at the Fermi energy ... 0.60 states/eV/atom
Energy relative to the elements, uncorrected ... 0.61 eV per atom

---

[24]
P3WSe | PBE | optimized geometry

abc: 4.528 4.528 4.528
angles: 90.00 90.00 90.00
Space group Pm-3m (No. 221)
Unique sites:
P (0.000, 0.000, 0.500) (multiplicity 3)
W (0.500, 0.500, 0.500) (multiplicity 1)
Se (0.000, 0.000, 0.000) (multiplicity 1)

Calculated values
E_tot ... -4.82 eV per atom
E above lowest polymorph ... 5.512 eV/f.u.
Total magnetic moment ... 0.000 μB per atom
DOS at the Fermi energy ... 1.62 states/eV/atom
Energy relative to the elements, uncorrected ... 1.71 eV per atom

---

[25]
YP3Se | PBE | optimized geometry

abc: 5.264 5.264 5.264
angles: 90.00 90.00 90.00
Space group Pm-3m (No. 221)
Unique sites:
Y (0.000, 0.000, 0.000) (multiplicity 1)
P (0.000, 0.000, 0.500) (multiplicity 3)
Se (0.500, 0.500, 0.500) (multiplicity 1)

Calculated values
E_tot ... -4.27 eV per atom
E above lowest polymorph ... 3.530 eV/f.u.
Total magnetic moment ... 0.139 μB per atom
DOS at the Fermi energy ... 1.65 states/eV/atom
Energy relative to the elements, uncorrected ... 0.97 eV per atom